Density functional theory data (GGA-PBE) for crystalline Nd2Mg2Si4Ni at its relaxed geometry.

Computed properties:
Space group: No. 139
DFT total energy in eV per atom: -4.843

Cell lengths 6.2168, 6.2168, 6.2168 Å; angles 118.53, 118.53, 92.56 degrees
Sites, in units of the cell vectors:
Nd (0.2500, 0.7500, 0.5000)
Nd (0.7500, 0.2500, 0.5000)
Mg (0.2033, 0.2033, 0.0000)
Mg (0.7967, 0.7967, 0.0000)
Si (0.2409, 0.2409, 0.4819)
Si (0.2409, 0.7591, 0.0000)
Si (0.7591, 0.2409, 0.0000)
Si (0.7591, 0.7591, 0.5181)
Ni (0.5000, 0.5000, 0.0000)

Density functional theory data (GGA-PBE) for crystalline Nd2MgNi3Sn4 at its relaxed geometry.

Computed properties:
Space group: No. 115
Calculated formation energy in eV/atom: -0.5020
DFT total energy in eV per atom: -4.951

Cell lengths 4.4146, 4.4146, 10.9748 Å; angles 90.00, 90.00, 90.00 degrees
Sites, in units of the cell vectors:
Nd (0.0000, 0.5000, 0.2406)
Nd (0.5000, 0.0000, 0.7594)
Mg (0.0000, 0.0000, 0.5000)
Ni (0.0000, 0.5000, 0.8783)
Ni (0.5000, 0.0000, 0.1217)
Ni (0.5000, 0.5000, 0.5000)
Sn (0.0000, 0.0000, 0.0000)
Sn (0.0000, 0.5000, 0.6495)
Sn (0.5000, 0.0000, 0.3505)
Sn (0.5000, 0.5000, 0.0000)

Density functional theory data (GGA-PBE) for crystalline Nd2MgNi4Sn3 at its relaxed geometry.

Computed properties:
Space group: No. 115
Calculated formation energy in eV/atom: -0.4818
DFT total energy in eV per atom: -5.108

Cell lengths 4.4220, 4.4220, 10.2151 Å; angles 90.00, 90.00, 90.00 degrees
Sites, in units of the cell vectors:
Nd (0.0000, 0.5000, 0.2369)
Nd (0.5000, 0.0000, 0.7631)
Mg (0.0000, 0.0000, 0.5000)
Ni (0.0000, 0.0000, 0.0000)
Ni (0.0000, 0.5000, 0.6291)
Ni (0.5000, 0.0000, 0.3709)
Ni (0.5000, 0.5000, 0.0000)
Sn (0.0000, 0.5000, 0.8729)
Sn (0.5000, 0.0000, 0.1271)
Sn (0.5000, 0.5000, 0.5000)